Density functional theory data (PBE) for an optimized crystal structure of ZrTa2Nb2.

abc: 7.687 7.687 3.397
angles: 90.00 90.00 90.00
Space group P4/mbm (No. 127)
Unique sites:
Zr1 0.000 0.000 0.000 (multiplicity 2)
Ta1 0.140 0.360 0.000 (multiplicity 4)
Nb1 0.151 0.651 0.500 (multiplicity 4)

* formation energy: 0.33 eV/atom
* DOS(E_F): 3.45 states/eV/f.u.
* E: -10.147 eV/atom